No. 1
DFT (GGA-PBEsol) results for crystalline SrSbMo2 at its relaxed geometry.

Structure (CIF):
```
data_SrSbMo2
_chemical_formula_sum 'Sr1 Sb1 Mo2'
_space_group_name_H-M_alt 'P 4/m m m'
_space_group_IT_number 123
_space_group_name_Hall '-P 4 2'
_cell_length_a 4.1994
_cell_length_b 4.1994
_cell_length_c 4.5598
_cell_angle_alpha 90.00
_cell_angle_beta 90.00
_cell_angle_gamma 90.00
loop_
_atom_site_label
_atom_site_fract_x
_atom_site_fract_y
_atom_site_fract_z
Sr1 0.0000 0.0000 0.0000
Sb1 0.5000 0.5000 0.0000
Mo1 0.0000 0.5000 0.5000
```

energy = -6.6736 eV per atom

No. 2
DFT (GGA-PBEsol) results for crystalline SrSbMo2 at its relaxed geometry.

Structure (CIF):
```
data_SrSbMo2
_chemical_formula_sum 'Sr2 Sb2 Mo4'
_space_group_name_H-M_alt 'I m m m'
_space_group_IT_number 71
_space_group_name_Hall '-I 2 2'
_cell_length_a 3.4891
_cell_length_b 4.9035
_cell_length_c 9.5547
_cell_angle_alpha 90.00
_cell_angle_beta 90.00
_cell_angle_gamma 90.00
loop_
_atom_site_label
_atom_site_fract_x
_atom_site_fract_y
_atom_site_fract_z
Sr1 0.0000 0.0000 0.0000
Sb1 0.0000 0.0000 0.5000
Mo1 0.0000 0.5000 0.2373
```

energy = -6.6304 eV per atom

No. 3
DFT (GGA-PBEsol) results for crystalline SrSb2Mo at its relaxed geometry.

Structure (CIF):
```
data_SrSb2Mo
_chemical_formula_sum 'Sr2 Sb4 Mo2'
_space_group_name_H-M_alt 'C 1 2/m 1'
_space_group_IT_number 12
_cell_length_a 8.4510
_cell_length_b 3.8108
_cell_length_c 6.5623
_cell_angle_alpha 90.00
_cell_angle_beta 105.52
_cell_angle_gamma 90.00
loop_
_space_group_symop_operation_xyz
'x,y,z'
'-x,-y,-z'
'-x,y,-z'
'x,-y,z'
'x+1/2,y+1/2,z'
'-x+1/2,-y+1/2,-z'
'-x+1/2,y+1/2,-z'
'x+1/2,-y+1/2,z'
loop_
_atom_site_label
_atom_site_fract_x
_atom_site_fract_y
_atom_site_fract_z
Sr1 0.0000 0.0000 0.0000
Sb1 0.2317 0.0000 0.6782
Mo1 0.0000 0.5000 0.5000
```

energy = -5.8235 eV per atom

No. 4
DFT (GGA-PBEsol) results for crystalline Tc2SbMo at its relaxed geometry.

Structure (CIF):
```
data_Tc2SbMo
_chemical_formula_sum 'Tc8 Sb4 Mo4'
_space_group_name_H-M_alt 'F -4 3 m'
_space_group_IT_number 216
_space_group_name_Hall 'F -4 2 3'
_cell_length_a 6.3043
_cell_length_b 6.3043
_cell_length_c 6.3043
_cell_angle_alpha 90.00
_cell_angle_beta 90.00
_cell_angle_gamma 90.00
loop_
_atom_site_label
_atom_site_fract_x
_atom_site_fract_y
_atom_site_fract_z
Tc1 0.0000 0.0000 0.0000
Tc2 0.2500 0.2500 0.2500
Sb1 0.0000 0.0000 0.5000
Mo1 0.2500 0.2500 0.7500
```

energy = -9.4221 eV per atom

No. 5
DFT (GGA-PBEsol) results for crystalline TcSb2Mo at its relaxed geometry.

Structure (CIF):
```
data_TcSb2Mo
_chemical_formula_sum 'Tc1 Sb2 Mo1'
_space_group_name_H-M_alt 'P m m m'
_space_group_IT_number 47
_cell_length_a 3.2964
_cell_length_b 4.2131
_cell_length_c 5.3066
_cell_angle_alpha 90.00
_cell_angle_beta 90.00
_cell_angle_gamma 90.00
loop_
_space_group_symop_operation_xyz
'x,y,z'
'-x,-y,-z'
'-x,-y,z'
'x,y,-z'
'x,-y,-z'
'-x,y,z'
'-x,y,-z'
'x,-y,z'
loop_
_atom_site_label
_atom_site_fract_x
_atom_site_fract_y
_atom_site_fract_z
Tc1 0.0000 0.0000 0.0000
Sb1 0.0000 0.5000 0.5000
Sb2 0.5000 0.5000 0.0000
Mo1 0.5000 0.0000 0.5000
```

energy = -7.4588 eV per atom

No. 6
DFT (GGA-PBEsol) results for crystalline Tc2SbMo at its relaxed geometry.

Structure (CIF):
```
data_Tc2SbMo
_chemical_formula_sum 'Tc2 Sb1 Mo1'
_space_group_name_H-M_alt 'P 4 m m'
_space_group_IT_number 99
_cell_length_a 3.0348
_cell_length_b 3.0348
_cell_length_c 6.8420
_cell_angle_alpha 90.00
_cell_angle_beta 90.00
_cell_angle_gamma 90.00
loop_
_space_group_symop_operation_xyz
'x,y,z'
'-y,x,z'
'-x,-y,z'
'y,-x,z'
'-x,y,z'
'y,x,z'
'x,-y,z'
'-y,-x,z'
loop_
_atom_site_label
_atom_site_fract_x
_atom_site_fract_y
_atom_site_fract_z
Tc1 0.0000 0.0000 0.0000
Tc2 0.5000 0.5000 0.2328
Sb1 0.5000 0.5000 0.7417
Mo1 0.0000 0.0000 0.4699
```

energy = -9.4930 eV per atom

no.,M_tot (Bohr magnetons per cell)
1,0.000
2,0.000
3,0.003
4,4.744
5,0.001
6,0.000